1.
Entry from Alexandria: a geometry-optimized TbPm2CdAu4 structure (PBE).

Cell: 5.090 5.090 8.919 Å, 73.42 73.42 60.00°
Fractional positions:
Au1 0.381 0.381 0.857
Au2 0.135 0.135 0.595
Au3 0.619 0.619 0.143
Au4 0.865 0.865 0.405
Tb1 0.500 0.500 0.500
Pm1 0.742 0.742 0.773
Pm2 0.258 0.258 0.227
Cd1 0.000 0.000 0.000

E_form = -757 meV/atom
Theoretical density = 11.86 g/cm3

***

2.
Entry from Alexandria: a geometry-optimized AcCe3Y2As6 structure (PBE).

Cell: 7.366 7.366 7.351 Å, 99.65 99.65 120.00°
Site moments in Bohr magnetons follow the coordinates.
Fractional positions:
Y1 0.668 0.332 0.000  0.01
Y2 0.332 0.668 0.000  0.01
As1 0.432 0.085 0.255  -0.02
As2 0.737 0.737 0.252  -0.02
As3 0.915 0.568 0.745  -0.02
As4 0.568 0.915 0.745  -0.02
As5 0.085 0.432 0.255  -0.02
As6 0.263 0.263 0.748  -0.02
Ce1 0.836 0.164 0.500  0.62
Ce2 0.500 0.500 0.500  0.62
Ce3 0.164 0.836 0.500  0.62
Ac1 0.000 0.000 0.000  0.01

E_form = -1452 meV/atom
Theoretical density = 6.51 g/cm3

***

3.
Entry from Alexandria: a geometry-optimized Rb5Zn2Bi4 structure (PBE).

Cell: 4.683 9.693 14.186 Å, 125.35 99.50 90.00°
Fractional positions:
Bi1 0.706 0.679 0.411
Bi2 0.984 0.635 0.968
Bi3 0.016 0.365 0.032
Bi4 0.294 0.321 0.589
Rb1 0.166 0.341 0.331
Rb2 0.500 0.000 0.000
Rb3 0.846 0.136 0.691
Rb4 0.154 0.864 0.309
Rb5 0.834 0.659 0.669
Zn1 0.413 0.519 0.826
Zn2 0.587 0.481 0.174

E_form = -169 meV/atom
Theoretical density = 4.50 g/cm3

***

4.
Entry from Alexandria: a geometry-optimized PaIn2Bi structure (PBE).

Cell: 3.293 3.293 12.476 Å, 82.42 82.42 60.00°
Site moments in Bohr magnetons follow the coordinates.
Fractional positions:
In1 0.087 0.087 0.740  0.00
In2 0.913 0.913 0.260  0.00
Pa1 0.000 0.000 0.000  0.06
Bi1 0.500 0.500 0.500  0.00

E_form = 299 meV/atom
Theoretical density = 9.60 g/cm3
Energy above the most stable polymorph in this dataset = 445 meV per atom

***

5.
Entry from Alexandria: a geometry-optimized Gd2MgSc structure (PBE).

Cell: 3.606 3.606 8.731 Å, 90.00 90.00 90.00°
Site moments in Bohr magnetons follow the coordinates.
Fractional positions:
Gd1 0.000 0.000 0.250  7.21
Gd2 0.000 0.000 0.750  7.21
Mg1 0.500 0.500 0.000  0.00
Sc1 0.500 0.500 0.500  0.17

E_form = -17 meV/atom
Theoretical density = 5.61 g/cm3
Energy above the most stable polymorph in this dataset = 0 meV per atom

***

6.
Entry from Alexandria: a geometry-optimized NaTeRh2O6 structure (PBE).

Cell: 5.468 5.468 5.627 Å, 60.93 60.93 60.00°
Fractional positions:
O1 0.709 0.161 0.759
O2 0.371 0.709 0.759
O3 0.247 0.890 0.221
O4 0.161 0.371 0.759
O5 0.890 0.642 0.221
O6 0.642 0.247 0.221
Rh1 0.520 0.520 0.440
Rh2 0.013 0.013 0.960
Na1 0.796 0.796 0.613
Te1 0.313 0.313 0.061

Theoretical density = 6.23 g/cm3
Formation energy from raw total energies = -927 meV per atom

***

7.
Entry from Alexandria: a geometry-optimized Ba2TmSn3Pd4 structure (PBE).

Cell: 4.735 4.735 11.341 Å, 90.00 90.00 90.00°
Fractional positions:
Sn1 0.500 0.000 0.882
Sn2 0.000 0.000 0.500
Sn3 0.000 0.500 0.118
Ba1 0.500 0.000 0.236
Ba2 0.000 0.500 0.764
Pd1 0.000 0.000 0.000
Pd2 0.500 0.500 0.000
Pd3 0.500 0.000 0.638
Pd4 0.000 0.500 0.362
Tm1 0.500 0.500 0.500

E_form = -759 meV/atom
Theoretical density = 8.00 g/cm3

***

8.
Entry from Alexandria: a geometry-optimized LaIrOF2 structure (PBE).

Cell: 4.592 4.592 4.796 Å, 90.00 90.00 90.00°
Site moments in Bohr magnetons follow the coordinates.
Fractional positions:
La1 0.000 0.000 0.000  0.00
F1 0.000 0.500 0.000  0.01
F2 0.500 0.000 0.000  0.01
O1 0.000 0.000 0.500  0.00
Ir1 0.500 0.500 0.500  2.01

Theoretical density = 6.32 g/cm3
Energy above the most stable polymorph in this dataset = 31 meV per atom
Formation energy from raw total energies = -1359 meV per atom

***

9.
Entry from Alexandria: a geometry-optimized Nd3MgSn12 structure (PBE).

Cell: 4.725 4.725 19.284 Å, 90.00 90.00 90.00°
Fractional positions:
Mg1 0.000 0.000 0.000
Sn1 0.500 0.000 0.880
Sn2 0.500 0.000 0.120
Sn3 0.000 0.500 0.375
Sn4 0.500 0.500 0.246
Sn5 0.500 0.500 0.754
Sn6 0.000 0.500 0.625
Sn7 0.500 0.000 0.625
Sn8 0.500 0.500 0.000
Sn9 0.000 0.500 0.880
Sn10 0.500 0.000 0.375
Sn11 0.500 0.500 0.500
Sn12 0.000 0.500 0.120
Nd1 0.000 0.000 0.254
Nd2 0.000 0.000 0.746
Nd3 0.000 0.000 0.500

E_form = -378 meV/atom
Theoretical density = 7.26 g/cm3

***

10.
Entry from Alexandria: a geometry-optimized Nd2Sm2Mg structure (PBE).

Cell: 3.692 3.692 12.181 Å, 98.72 98.72 90.00°
Fractional positions:
Mg1 0.000 0.000 0.000
Sm1 0.589 0.589 0.179
Sm2 0.411 0.411 0.821
Nd1 0.195 0.195 0.390
Nd2 0.805 0.805 0.610

E_form = -26 meV/atom
Theoretical density = 6.28 g/cm3
Energy above the most stable polymorph in this dataset = 0 meV per atom

***

11.
Entry from Alexandria: a geometry-optimized PrEr3Ru2 structure (PBE).

Cell: 3.945 6.727 6.727 Å, 120.00 90.00 90.00°
Fractional positions:
Er1 0.500 0.000 0.500
Er2 0.500 0.500 0.000
Er3 0.500 0.500 0.500
Ru1 0.000 0.667 0.333
Ru2 0.000 0.333 0.667
Pr1 0.000 0.000 0.000

E_form = -192 meV/atom
Theoretical density = 9.07 g/cm3
Energy above the most stable polymorph in this dataset = 134 meV per atom

***

12.
Entry from Alexandria: a geometry-optimized ZrCoBiAs2 structure (PBE).

Cell: 5.180 4.756 5.180 Å, 90.00 90.00 90.00°
Site moments in Bohr magnetons follow the coordinates.
Fractional positions:
Co1 0.000 0.500 0.000  1.41
Bi1 0.500 0.500 0.500  -0.09
As1 0.000 0.000 0.500  0.11
As2 0.500 0.000 0.000  0.06
Zr1 0.000 0.000 0.000  -0.11

E_form = 576 meV/atom
Theoretical density = 6.62 g/cm3

***

Calculated volume list, top to bottom, in A^3/atom: 23.6, 27.1, 46.8, 29.0, 28.4, 12.1, 25.4, 20.2, 26.9, 32.4, 25.8, 25.5
M_tot list, top to bottom, in μB/f.u.: 0.00, 2.03, 0.00, 0.07, 15.29, 0.00, 0.00, 2.27, 0.00, 0.00, 0.00, 1.52
D(E_F) list, top to bottom, in states/eV/cell: 5.7, 16.6, 3.5, 4.9, 5.0, 5.5, 5.4, 5.2, 6.6, 6.5, 4.6, 4.4